1.
## CsTi2F (PBE)

Data for a relaxed structure of CsTi2F.

Cell: 4.6996 4.6996 4.6996 Å, 60.00 60.00 60.00°
Last column: nearest neighbours and their distance in Å.
Element x y z (fractional)
Ti 0.2500 0.2500 0.2500  4 Cs 2.88, 4 F 2.88
Ti 0.7500 0.7500 0.7500  4 Cs 2.88, 4 F 2.88
Cs 0.5000 0.5000 0.5000  8 Ti 2.88
F 0.0000 0.0000 0.0000  8 Ti 2.88

Summary:
N(E_F) = 1.440 states/eV/atom
Magnetization = 1.1 μB/f.u.
Raw formation energy = 0.89 eV/atom

---

2.
## CsTiF5 (PBE)

Data for a relaxed structure of CsTiF5.

Cell: 4.0598 6.6008 6.6008 Å, 76.38 72.09 72.09°
Last column: nearest neighbours and their distance in Å.
Element x y z (fractional)
F 0.3370 0.6919 0.6919  1 Ti 1.85
F 0.4981 0.7288 0.2712  1 Ti 1.87
F 0.0087 0.5000 0.5000  1 Ti 1.89
F 0.7207 0.3081 0.3081  1 Ti 1.85
F 0.4981 0.2712 0.7288  1 Ti 1.87
Ti 0.4747 0.5000 0.5000  5 F 1.85-1.89
Cs 0.9935 0.0000 0.0000  6 F 2.95-3.02

Summary:
N(E_F) = 0.000 states/eV/atom
Magnetization = 0.0 μB/f.u.
Raw formation energy = -3.31 eV/atom

---

3.
## CsTi8F33 (PBE)

Data for a relaxed structure of CsTi8F33.

Cell: 8.9413 8.9413 19.3884 Å, 90.00 90.00 120.00°
Last column: nearest neighbours and their distance in Å.
Element x y z (fractional)
Ti 0.6554 0.6625 0.6213  4 F 1.76-1.92
Ti 0.9917 0.6682 0.7516  4 F 1.76-1.94
Ti 0.0000 0.0000 0.0011  3 F 1.78
Ti 0.6682 0.9917 0.2516  4 F 1.76-1.94
Ti 0.0000 0.0000 0.5011  3 F 1.78
Ti 0.9929 0.3375 0.1213  4 F 1.76-1.92
Ti 0.3333 0.6667 0.8731  3 F 1.78
Ti 0.6625 0.6554 0.1213  4 F 1.76-1.92
Ti 0.3375 0.9929 0.6213  4 F 1.76-1.92
Ti 0.0083 0.6765 0.2516  4 F 1.76-1.94
Ti 0.3318 0.3235 0.7516  4 F 1.76-1.94
Ti 0.6667 0.3333 0.3731  3 F 1.78
Ti 0.3446 0.0071 0.1213  4 F 1.76-1.92
Ti 0.3235 0.3318 0.2516  4 F 1.76-1.94
Ti 0.0071 0.3446 0.6213  4 F 1.76-1.92
Ti 0.6765 0.0083 0.7516  4 F 1.76-1.94
F 0.8692 0.8079 0.5741  2 Ti 1.92-2.08
F 0.8676 0.0685 0.9590  1 Ti 1.78
F 0.1308 0.9387 0.0741  2 Ti 1.92-2.08
F 0.6033 0.4797 0.5704  1 Ti 1.76
F 0.9297 0.7884 0.8041  1 Ti 1.76
F 0.1236 0.5203 0.0704  1 Ti 1.76
F 0.8047 0.1923 0.6858  2 Ti 1.94-2.06
F 0.8624 0.1407 0.1900  2 Ti 1.98-2.04
F 0.4650 0.5973 0.9152  1 Ti 1.78
F 0.8764 0.3967 0.5704  1 Ti 1.76
F 0.2783 0.1376 0.1900  2 Ti 1.98-2.04
F 0.8796 0.4687 0.7974  1 Ti 1.78
F 0.8077 0.6124 0.6858  2 Ti 1.94-2.06
F 0.5276 0.7990 0.8008  2 Ti 1.92-2.08
F 0.7285 0.2010 0.3008  2 Ti 1.92-2.08
F 0.2116 0.1413 0.8041  1 Ti 1.76
F 0.5973 0.4650 0.4152  1 Ti 1.78
F 0.1953 0.3876 0.1858  2 Ti 1.94-2.06
F 0.4698 0.9389 0.6838  2 Ti 1.92-2.09
F 0.0685 0.8676 0.4590  1 Ti 1.78
F 0.8587 0.0703 0.8041  1 Ti 1.76
F 0.8001 0.2534 0.0719  1 Ti 1.78
F 0.9387 0.1308 0.5741  2 Ti 1.92-2.08
F 0.5313 0.4109 0.7974  1 Ti 1.78
F 0.1204 0.5891 0.2974  1 Ti 1.78
F 0.1999 0.4533 0.5719  1 Ti 1.78
F 0.8593 0.7217 0.1900  2 Ti 1.98-2.04
F 0.8079 0.8692 0.0741  2 Ti 1.92-2.08
F 0.2715 0.4724 0.8008  2 Ti 1.92-2.08
F 0.1324 0.2008 0.4590  1 Ti 1.78
F 0.8677 0.4027 0.4152  1 Ti 1.78
F 0.5467 0.7466 0.5719  1 Ti 1.78
F 0.6124 0.8077 0.1858  2 Ti 1.94-2.06
F 0.3876 0.1953 0.6858  2 Ti 1.94-2.06
F 0.0703 0.8587 0.3041  1 Ti 1.76
F 0.1323 0.5350 0.9152  1 Ti 1.78
F 0.4533 0.1999 0.0719  1 Ti 1.78
F 0.0613 0.1921 0.0741  2 Ti 1.92-2.08
F 0.5891 0.1204 0.7974  1 Ti 1.78
F 0.7884 0.9297 0.3041  1 Ti 1.76
F 0.1407 0.8624 0.6900  2 Ti 1.98-2.04
F 0.3967 0.8764 0.0704  1 Ti 1.76
F 0.7990 0.5276 0.3008  2 Ti 1.92-2.08
F 0.7466 0.5467 0.0719  1 Ti 1.78
F 0.4724 0.2715 0.3008  2 Ti 1.92-2.08
F 0.1923 0.8047 0.1858  2 Ti 1.94-2.06
F 0.0611 0.5309 0.6838  2 Ti 1.92-2.09
F 0.9389 0.4698 0.1838  2 Ti 1.92-2.09
F 0.1921 0.0613 0.5741  2 Ti 1.92-2.08
F 0.2534 0.8001 0.5719  1 Ti 1.78
F 0.9315 0.7992 0.9590  1 Ti 1.78
F 0.5309 0.0611 0.1838  2 Ti 1.92-2.09
F 0.4687 0.8796 0.2974  1 Ti 1.78
F 0.5203 0.1236 0.5704  1 Ti 1.76
F 0.1376 0.2783 0.6900  2 Ti 1.98-2.04
F 0.7217 0.8593 0.6900  2 Ti 1.98-2.04
F 0.5350 0.1323 0.4152  1 Ti 1.78
F 0.4797 0.6033 0.0704  1 Ti 1.76
F 0.2010 0.7285 0.8008  2 Ti 1.92-2.08
F 0.4691 0.5302 0.6838  2 Ti 1.92-2.09
F 0.4027 0.8677 0.9152  1 Ti 1.78
F 0.4109 0.5313 0.2974  1 Ti 1.78
F 0.2008 0.1324 0.9590  1 Ti 1.78
F 0.5302 0.4691 0.1838  2 Ti 1.92-2.09
F 0.1413 0.2116 0.3041  1 Ti 1.76
F 0.7992 0.9315 0.4590  1 Ti 1.78
Cs 0.6667 0.3333 0.9344  6 F 3.14-3.15
Cs 0.3333 0.6667 0.4344  6 F 3.14-3.15

Summary:
N(E_F) = 0.000 states/eV/atom
Magnetization = 0.2 μB/f.u.
Raw formation energy = -3.36 eV/atom

---

4.
## CsTiF2 (PBE)

Data for a relaxed structure of CsTiF2.

Cell: 7.7759 7.7759 7.7759 Å, 29.41 29.41 29.41°
Last column: nearest neighbours and their distance in Å.
Element x y z (fractional)
F 0.0856 0.0856 0.0856  1 Ti 1.91
F 0.9144 0.9144 0.9144  1 Ti 1.91
Ti 0.0000 0.0000 0.0000  2 F 1.91
Cs 0.5000 0.5000 0.5000  6 F 2.91

Summary:
N(E_F) = 0.415 states/eV/atom
Offset from the most stable computed form = 0.0 meV/atom
Magnetization = 1.3 μB/f.u.
Raw formation energy = -2.05 eV/atom

---

5.
## Cs2TiF5 (PBE)

Data for a relaxed structure of Cs2TiF5.

Cell: 7.1122 6.8044 6.8217 Å, 130.29 119.28 81.55°
Last column: nearest neighbours and their distance in Å.
Element x y z (fractional)
Ti 0.9720 0.9608 0.9329  5 F 1.89-2.02
F 0.8347 0.7667 0.9819  1 Ti 2.02
F 0.7024 0.8250 0.5708  1 Ti 1.89
F 0.2410 0.8687 0.0671  1 Ti 1.89
F 0.1091 0.1484 0.8773  1 Ti 2.02
F 0.9732 0.2990 0.2719  1 Ti 1.94
Cs 0.2322 0.7281 0.4147  6 F 2.99-3.10
Cs 0.7124 0.1802 0.4373  6 F 2.99-3.10

Summary:
N(E_F) = 0.154 states/eV/atom
Magnetization = 1.0 μB/f.u.
Raw formation energy = -3.06 eV/atom

---

6.
## CsTiF4 (PBE)

Data for a relaxed structure of CsTiF4.

Cell: 8.0265 8.0265 6.6825 Å, 90.00 90.00 90.00°
Last column: nearest neighbours and their distance in Å.
Element x y z (fractional)
Ti 0.2500 0.2500 0.0000  6 F 1.93-2.02
Ti 0.7500 0.2500 0.0000  6 F 1.93-2.02
Ti 0.7500 0.7500 0.0000  6 F 1.93-2.02
Ti 0.2500 0.7500 0.0000  6 F 1.93-2.02
F 0.2517 0.5000 0.0397  2 Ti 2.02
F 0.7517 0.0000 0.9603  2 Ti 2.02
F 0.7238 0.2238 0.2854  1 Ti 1.93
F 0.2238 0.7238 0.7146  1 Ti 1.93
F 0.0000 0.2483 0.0397  2 Ti 2.02
F 0.2238 0.2762 0.7146  1 Ti 1.93
F 0.7238 0.7762 0.2854  1 Ti 1.93
F 0.7483 0.5000 0.0397  2 Ti 2.02
F 0.7762 0.2762 0.7146  1 Ti 1.93
F 0.0000 0.7517 0.0397  2 Ti 2.02
F 0.5000 0.2517 0.9603  2 Ti 2.02
F 0.2483 0.0000 0.9603  2 Ti 2.02
F 0.2762 0.7762 0.2854  1 Ti 1.93
F 0.7762 0.7238 0.7146  1 Ti 1.93
F 0.5000 0.7483 0.9603  2 Ti 2.02
F 0.2762 0.2238 0.2854  1 Ti 1.93
Cs 0.5000 0.5000 0.5000  8 F 3.19
Cs 0.5000 0.0000 0.5469  12 F 3.08-3.42
Cs 0.0000 0.0000 0.5000  8 F 3.19
Cs 0.0000 0.5000 0.4531  12 F 3.08-3.42

Summary:
N(E_F) = 0.599 states/eV/atom
Offset from the most stable computed form = 0.0 meV/atom
Magnetization = 1.0 μB/f.u.
Raw formation energy = -3.21 eV/atom

---

7.
## Cs3TiF7 (PBE)

Data for a relaxed structure of Cs3TiF7.

Cell: 8.6195 8.6195 6.3650 Å, 90.00 90.00 90.00°
Last column: nearest neighbours and their distance in Å.
Element x y z (fractional)
Cs 0.8060 0.3060 0.5000  10 F 3.02-3.27
Cs 0.1940 0.6940 0.5000  10 F 3.02-3.27
Cs 0.3060 0.1940 0.5000  10 F 3.02-3.27
Cs 0.5000 0.5000 0.0000  6 F 3.18-3.26
Cs 0.6940 0.8060 0.5000  10 F 3.02-3.27
Cs 0.0000 0.0000 0.0000  6 F 3.18-3.26
F 0.6086 0.1086 0.2132  1 Ti 1.90
F 0.1086 0.3914 0.7868  1 Ti 1.90
F 0.3914 0.8914 0.7868  1 Ti 1.90
F 0.6086 0.1086 0.7868  1 Ti 1.90
F 0.3446 0.1554 0.0000  1 Ti 1.89
F 0.5000 0.5000 0.5000  6 Cs 3.12-3.18
F 0.8446 0.3446 0.0000  1 Ti 1.89
F 0.8914 0.6086 0.7868  1 Ti 1.90
F 0.1086 0.3914 0.2132  1 Ti 1.90
F 0.8914 0.6086 0.2132  1 Ti 1.90
F 0.3914 0.8914 0.2132  1 Ti 1.90
F 0.1554 0.6554 0.0000  1 Ti 1.89
F 0.6554 0.8446 0.0000  1 Ti 1.89
F 0.0000 0.0000 0.5000  6 Cs 3.12-3.18
Ti 0.5000 0.0000 0.0000  6 F 1.89-1.90
Ti 0.0000 0.5000 0.0000  6 F 1.89-1.90

Summary:
N(E_F) = 0.000 states/eV/atom
Magnetization = 0.1 μB/f.u.
Raw formation energy = -3.17 eV/atom

---

8.
## CsTiF2 (PBE)

Data for a relaxed structure of CsTiF2.

Cell: 5.3467 5.3467 7.4933 Å, 69.10 69.10 90.00°
Last column: nearest neighbours and their distance in Å.
Element x y z (fractional)
Ti 0.5000 0.5000 0.0000  4 F 2.10
Ti 0.2500 0.7500 0.5000  4 F 2.10
F 0.3846 0.1250 0.2500  2 Ti 2.10
F 0.3654 0.6250 0.2500  2 Ti 2.10
F 0.8750 0.6346 0.7500  2 Ti 2.10
F 0.3750 0.6154 0.7500  2 Ti 2.10
Cs 0.0000 0.0000 0.0000  8 F 3.36-3.44
Cs 0.7500 0.2500 0.5000  8 F 3.36-3.44

Summary:
N(E_F) = 0.668 states/eV/atom
Offset from the most stable computed form = 168.8 meV/atom
Magnetization = 2.8 μB/f.u.
Raw formation energy = -1.88 eV/atom

---

9.
## CsTi4F12 (PBE)

Data for a relaxed structure of CsTi4F12.

Cell: 7.0321 7.0321 7.0321 Å, 109.47 109.47 109.47°
Last column: nearest neighbours and their distance in Å.
Element x y z (fractional)
Ti 0.5000 0.5000 0.5000  6 F 2.03
Ti 0.5000 0.0000 0.0000  6 F 2.03
Ti 0.0000 0.0000 0.5000  6 F 2.03
Ti 0.0000 0.5000 0.0000  6 F 2.03
F 0.2529 0.4995 0.2466  2 Ti 2.03
F 0.9993 0.2466 0.7527  2 Ti 2.03
F 0.2533 0.2472 0.5005  2 Ti 2.03
F 0.2529 0.0062 0.7534  2 Ti 2.03
F 0.7471 0.9938 0.2466  2 Ti 2.03
F 0.4939 0.2466 0.2473  2 Ti 2.03
F 0.2533 0.7528 0.0061  2 Ti 2.03
F 0.7471 0.5005 0.7534  2 Ti 2.03
F 0.7467 0.2472 0.9939  2 Ti 2.03
F 0.7467 0.7528 0.4995  2 Ti 2.03
F 0.5061 0.7534 0.7527  2 Ti 2.03
F 0.0007 0.7534 0.2473  2 Ti 2.03
Cs 0.0000 0.5000 0.5000  12 F 2.91

Summary:
N(E_F) = 0.651 states/eV/atom
Magnetization = 5.0 μB/f.u.
Raw formation energy = -3.17 eV/atom

---

10.
## Cs3Ti2F9 (PBE)

Data for a relaxed structure of Cs3Ti2F9.

Cell: 8.1951 8.1951 8.1951 Å, 87.60 87.60 87.60°
Last column: nearest neighbours and their distance in Å.
Element x y z (fractional)
F 0.4553 0.6016 0.7530  1 Ti 1.92
F 0.8984 0.0447 0.7470  1 Ti 1.92
F 0.1028 0.2500 0.3972  2 Ti 2.09
F 0.6028 0.8972 0.7500  2 Ti 2.09
F 0.3972 0.1028 0.2500  2 Ti 2.09
F 0.3984 0.2470 0.5447  1 Ti 1.92
F 0.7470 0.8984 0.0447  1 Ti 1.92
F 0.1016 0.9553 0.2530  1 Ti 1.92
F 0.7530 0.4553 0.6016  1 Ti 1.92
F 0.2470 0.5447 0.3984  1 Ti 1.92
F 0.9553 0.2530 0.1016  1 Ti 1.92
F 0.6016 0.7530 0.4553  1 Ti 1.92
F 0.7500 0.6028 0.8972  2 Ti 2.09
F 0.2500 0.3972 0.1028  2 Ti 2.09
F 0.5447 0.3984 0.2470  1 Ti 1.92
F 0.8972 0.7500 0.6028  2 Ti 2.09
F 0.2530 0.1016 0.9553  1 Ti 1.92
F 0.0447 0.7470 0.8984  1 Ti 1.92
Cs 0.0994 0.4006 0.7500  12 F 3.14-3.45
Cs 0.9006 0.5994 0.2500  12 F 3.14-3.45
Cs 0.7500 0.0994 0.4006  12 F 3.14-3.45
Cs 0.5994 0.2500 0.9006  12 F 3.14-3.45
Cs 0.4006 0.7500 0.0994  12 F 3.14-3.45
Cs 0.2500 0.9006 0.5994  12 F 3.14-3.45
Ti 0.1651 0.1651 0.1651  6 F 1.92-2.09
Ti 0.8349 0.8349 0.8349  6 F 1.92-2.09
Ti 0.6651 0.6651 0.6651  6 F 1.92-2.09
Ti 0.3349 0.3349 0.3349  6 F 1.92-2.09

Summary:
Magnetization = 0.0 μB/f.u.
Raw formation energy = -3.16 eV/atom

---

11.
## Cs2TiTlF6 (PBE)

Data for a relaxed structure of Cs2TiTlF6.

Cell: 6.9059 6.9059 11.4250 Å, 72.41 72.41 60.00°
Last column: nearest neighbours and their distance in Å.
Element x y z (fractional)
F 0.7749 0.1682 0.8886  1 Ti 1.97
F 0.8318 0.2251 0.1114  1 Ti 1.97
F 0.8225 0.3888 0.3999  1 Ti 2.03
F 0.6112 0.1775 0.6001  1 Ti 2.03
F 0.3888 0.3888 0.3999  1 Ti 2.03
F 0.1682 0.7749 0.8886  1 Ti 1.97
F 0.1775 0.6112 0.6001  1 Ti 2.03
F 0.6112 0.6112 0.6001  1 Ti 2.03
F 0.8318 0.8318 0.1114  1 Ti 1.97
F 0.3888 0.8225 0.3999  1 Ti 2.03
F 0.1682 0.1682 0.8886  1 Ti 1.97
F 0.2251 0.8318 0.1114  1 Ti 1.97
Cs 0.8702 0.8702 0.3893  12 F 3.19-3.46
Cs 0.2697 0.2697 0.1909  3 F 3.18
Cs 0.7303 0.7303 0.8091  3 F 3.18
Cs 0.1298 0.1298 0.6107  12 F 3.19-3.46
Tl 0.6016 0.6016 0.1953  6 F 2.58-2.79
Tl 0.3984 0.3984 0.8047  6 F 2.58-2.79
Ti 0.5000 0.5000 0.5000  6 F 2.03
Ti 0.0000 0.0000 0.0000  6 F 1.97

Summary:
N(E_F) = 0.441 states/eV/atom
Offset from the most stable computed form = 31.8 meV/atom
Magnetization = 1.0 μB/f.u.
Raw formation energy = -2.82 eV/atom

---

12.
## Cs2TiTlF6 (PBE)

Data for a relaxed structure of Cs2TiTlF6.

Cell: 6.6886 6.6886 6.6613 Å, 59.86 59.86 90.00°
Last column: nearest neighbours and their distance in Å.
Element x y z (fractional)
Cs 0.7500 0.2500 0.5000  12 F 3.35-3.37
Cs 0.2500 0.7500 0.5000  12 F 3.35-3.37
F 0.2867 0.7133 0.0000  1 Ti 2.02
F 0.7133 0.2867 0.0000  1 Ti 2.02
F 0.7096 0.7096 0.5808  1 Ti 1.97
F 0.2904 0.2904 0.4192  1 Ti 1.97
F 0.7133 0.7133 0.0000  1 Ti 2.02
F 0.2867 0.2867 0.0000  1 Ti 2.02
Tl 0.0000 0.0000 0.0000  6 F 2.71-2.72
Ti 0.5000 0.5000 0.0000  6 F 1.97-2.02

Summary:
N(E_F) = 0.762 states/eV/atom
Offset from the most stable computed form = 0.0 meV/atom
Magnetization = 1.0 μB/f.u.
Raw formation energy = -2.85 eV/atom